Below is a relaxed MgFeTe2O8 crystal, with properties calculated at the PBE+U level.

Cell and atoms, written as CIF:
```
data_MgFeTe2O8
_chemical_formula_sum 'Mg2 Fe2 Te4 O16'
_cell_length_a 6.9320
_cell_length_b 6.9320
_cell_length_c 6.6942
_cell_angle_alpha 90.00
_cell_angle_beta 90.00
_cell_angle_gamma 90.00
_symmetry_space_group_name_H-M 'I -4 m 2'
_symmetry_Int_Tables_number 119
_symmetry_space_group_name_Hall 'I -4 -2'
loop_
_atom_site_label
_atom_site_fract_x
_atom_site_fract_y
_atom_site_fract_z
Mg1 0.0000 0.0000 0.0000
Fe1 0.0000 0.5000 0.7500
Te1 0.0000 0.0000 0.5000
Te2 0.0000 0.5000 0.2500
O1 0.0000 0.1998 0.6837
O2 0.0000 0.2977 0.0718
```

Values from the calculation:
Its total moment is 4.0 μB per formula unit. Its crystal system is tetragonal. The calculation puts the density of states at the Fermi level at 3.006 states/eV per cell. The calculation puts the total energy at -5.541 eV/atom.